No. 1
Crystalline Sr3Ga2Ir4 at its relaxed geometry, computed with PBE.

```
Sr3Ga2Ir4
1.0
-0.221 -1.198 -4.124
4.370 -3.986 -1.321
-2.293 -9.335 0.592
Sr Ga Ir
3 2 4
Direct
0.630 0.113 0.627
0.000 0.000 0.000
0.370 0.887 0.373
0.664 0.440 0.231
0.336 0.560 0.769
0.248 0.427 0.077
0.922 0.529 0.627
0.078 0.471 0.373
0.752 0.573 0.923
```

Formation enthalpy at 0 K ... -40 kJ per mole of atoms
DFT total energy ... -50.23 eV/cell

No. 2
Crystalline Sr3Ga5Ir6 at its relaxed geometry, computed with PBE.

```
Sr3Ga5Ir6
1.0
-0.061 3.426 2.552
3.763 -5.784 7.855
11.738 2.839 -3.532
Sr Ga Ir
6 10 12
Direct
0.000 0.249 0.657
0.500 0.751 0.157
0.500 0.751 0.843
0.000 0.252 0.000
0.500 0.748 0.500
0.000 0.249 0.343
0.000 0.515 0.873
0.000 0.848 0.671
0.000 0.911 0.000
0.500 0.485 0.627
0.500 0.089 0.500
0.000 0.515 0.127
0.500 0.485 0.373
0.000 0.848 0.329
0.500 0.152 0.829
0.500 0.152 0.171
0.000 0.012 0.820
0.500 0.988 0.680
0.500 0.394 0.811
0.500 0.501 0.000
0.000 0.499 0.500
0.000 0.606 0.689
0.000 0.606 0.311
0.500 0.025 0.000
0.000 0.012 0.180
0.500 0.394 0.189
0.000 0.975 0.500
0.500 0.988 0.320
```

Formation enthalpy at 0 K ... -42 kJ per mole of atoms
DFT total energy ... -159.01 eV/cell

No. 3
Crystalline SrGa6Ir4 at its relaxed geometry, computed with PBE.

```
SrGa6Ir4
1.0
3.881 0.000 0.000
0.000 7.526 0.000
0.000 -3.763 6.518
Sr Ga Ir
1 6 4
Direct
0.000 0.000 0.000
0.000 0.531 0.062
0.500 0.613 0.806
0.000 0.531 0.469
0.000 0.938 0.469
0.500 0.194 0.806
0.500 0.194 0.387
0.500 0.794 0.589
0.500 0.411 0.206
0.500 0.794 0.206
0.000 0.333 0.667
```

Formation enthalpy at 0 K ... -46 kJ per mole of atoms
DFT total energy ... -60.49 eV/cell

No. 4
Crystalline SrGaIr at its relaxed geometry, computed with PBE.

```
SrGaIr
1.0
7.504 0.000 0.003
0.000 4.270 0.000
-7.398 0.000 8.705
Sr Ga Ir
4 4 4
Direct
0.669 0.000 0.432
0.331 0.000 0.568
0.669 0.500 0.932
0.331 0.500 0.068
0.816 0.000 0.210
0.184 0.000 0.790
0.816 0.500 0.710
0.184 0.500 0.290
0.915 0.000 0.861
0.085 0.000 0.139
0.915 0.500 0.361
0.085 0.500 0.639
```

Formation enthalpy at 0 K ... -48 kJ per mole of atoms
DFT total energy ... -60.25 eV/cell

No. 5
Crystalline SrGa2Ir at its relaxed geometry, computed with PBE.

```
SrGa2Ir
1.0
-3.537 -0.036 2.455
3.179 -2.767 4.540
1.646 5.926 2.459
Sr Ga Ir
2 4 2
Direct
0.500 0.901 0.000
0.000 0.099 0.500
0.000 0.625 0.712
0.500 0.375 0.788
0.000 0.625 0.288
0.500 0.375 0.212
0.500 0.653 0.500
0.000 0.347 0.000
```

Formation enthalpy at 0 K ... -51 kJ per mole of atoms
DFT total energy ... -37.46 eV/cell

No. 6
Crystalline SrGaIr at its relaxed geometry, computed with PBE.

```
SrGaIr
1.0
-2.011 -0.257 -3.896
3.528 -1.996 -1.689
-2.743 -6.404 1.839
Sr Ga Ir
2 2 2
Direct
0.000 0.500 0.842
0.500 0.000 0.158
0.000 0.000 0.500
0.500 0.500 0.500
0.000 0.500 0.316
0.500 0.000 0.684
```

Formation enthalpy at 0 K ... -46 kJ per mole of atoms
DFT total energy ... -29.97 eV/cell

No. 7
Crystalline Sr3Ga2Ir at its relaxed geometry, computed with PBE.

```
Sr3Ga2Ir
1.0
4.445 0.000 0.000
0.000 13.162 0.000
0.000 0.000 12.596
Sr Ga Ir
12 8 4
Direct
0.250 0.378 0.067
0.750 0.622 0.933
0.750 0.878 0.433
0.250 0.122 0.567
0.250 0.708 0.207
0.750 0.292 0.793
0.750 0.208 0.293
0.250 0.792 0.707
0.250 0.449 0.389
0.750 0.551 0.611
0.750 0.949 0.111
0.250 0.051 0.889
0.250 0.686 0.458
0.750 0.314 0.542
0.750 0.186 0.042
0.250 0.814 0.958
0.250 0.022 0.286
0.750 0.978 0.714
0.750 0.522 0.214
0.250 0.478 0.786
0.250 0.139 0.126
0.750 0.861 0.874
0.750 0.639 0.374
0.250 0.361 0.626
```

Formation enthalpy at 0 K ... -40 kJ per mole of atoms
DFT total energy ... -89.80 eV/cell

No. 8
Crystalline SrGaIr at its relaxed geometry, computed with PBE.

```
SrGaIr
1.0
4.410 0.000 0.000
0.000 4.410 0.000
0.000 0.000 7.465
Sr Ga Ir
2 2 2
Direct
0.000 0.500 0.308
0.500 0.000 0.692
0.000 0.500 0.829
0.500 0.000 0.171
0.000 0.000 0.000
0.500 0.500 0.000
```

Formation enthalpy at 0 K ... -51 kJ per mole of atoms
DFT total energy ... -30.31 eV/cell

No. 9
Crystalline SrGaIr at its relaxed geometry, computed with PBE.

```
SrGaIr
1.0
-2.928 3.038 -5.197
-5.936 -0.494 3.055
1.003 5.945 2.910
Sr Ga Ir
4 4 4
Direct
0.407 0.407 0.407
0.093 0.593 0.907
0.907 0.093 0.593
0.593 0.907 0.093
0.094 0.094 0.094
0.406 0.906 0.594
0.594 0.406 0.906
0.906 0.594 0.406
0.677 0.677 0.677
0.823 0.323 0.177
0.177 0.823 0.323
0.323 0.177 0.823
```

Formation enthalpy at 0 K ... -44 kJ per mole of atoms
DFT total energy ... -59.71 eV/cell

No. 10
Crystalline SrGa4Ir2 at its relaxed geometry, computed with PBE.

```
SrGa4Ir2
1.0
4.413 0.000 0.000
0.000 6.744 0.000
0.000 0.000 17.369
Sr Ir Ga
4 8 16
Direct
0.750 0.987 0.642
0.250 0.013 0.358
0.250 0.487 0.858
0.750 0.513 0.142
0.250 0.749 0.535
0.750 0.251 0.465
0.750 0.249 0.965
0.250 0.751 0.035
0.250 0.973 0.787
0.750 0.027 0.213
0.750 0.473 0.713
0.250 0.527 0.287
0.250 0.277 0.694
0.750 0.723 0.306
0.750 0.777 0.806
0.250 0.223 0.194
0.250 0.679 0.684
0.750 0.321 0.316
0.750 0.179 0.816
0.250 0.821 0.184
0.250 0.149 0.533
0.750 0.851 0.467
0.750 0.649 0.967
0.250 0.351 0.033
0.250 0.483 0.432
0.750 0.517 0.568
0.750 0.983 0.068
0.250 0.017 0.932
```

Formation enthalpy at 0 K ... -45 kJ per mole of atoms
DFT total energy ... -138.97 eV/cell

No. 11
Crystalline Sr3Ga8Ir3 at its relaxed geometry, computed with PBE.

```
Sr3Ga8Ir3
1.0
4.363 0.000 0.000
2.181 8.182 -0.135
2.181 2.098 7.910
Sr Ga Ir
3 8 3
Direct
0.500 0.500 0.500
0.819 0.181 0.181
0.181 0.819 0.819
0.615 0.094 0.676
0.385 0.906 0.324
0.615 0.676 0.094
0.385 0.324 0.906
0.832 0.814 0.523
0.168 0.186 0.477
0.832 0.523 0.814
0.168 0.477 0.186
0.500 0.000 0.000
0.000 0.778 0.222
0.000 0.222 0.778
```

Formation enthalpy at 0 K ... -44 kJ per mole of atoms
DFT total energy ... -62.19 eV/cell

No. 12
Crystalline Sr3GaIr at its relaxed geometry, computed with PBE.

```
Sr3GaIr
1.0
-3.830 2.869 3.247
-4.278 -3.191 -2.227
0.687 -3.877 4.236
Sr Ir Ga
3 1 1
Direct
0.000 0.500 0.000
0.000 0.000 0.500
0.500 0.000 0.000
0.000 0.000 0.000
0.500 0.500 0.500
```

Formation enthalpy at 0 K ... -5 kJ per mole of atoms
DFT total energy ... -17.17 eV/cell
Offset from the most stable computed form ... 0.226 eV/atom

No. 13
Crystalline Sr2GaIr at its relaxed geometry, computed with PBE.

```
Sr2GaIr
1.0
11.124 0.000 0.000
0.000 11.124 0.000
5.562 5.562 2.417
Sr Ir Ga
4 2 2
Direct
0.801 0.125 0.250
0.949 0.625 0.250
0.375 0.199 0.750
0.875 0.051 0.750
0.000 0.000 0.000
0.750 0.250 0.500
0.500 0.500 0.000
0.250 0.750 0.500
```

Formation enthalpy at 0 K ... -26 kJ per mole of atoms
DFT total energy ... -32.65 eV/cell

No. 14
Crystalline Sr8GaIr2 at its relaxed geometry, computed with PBE.

```
Sr8GaIr2
1.0
6.212 0.000 0.000
-0.001 8.389 -4.842
0.001 -0.005 9.681
Sr Ir Ga
8 2 1
Direct
0.252 0.667 0.333
0.748 0.333 0.667
0.748 0.832 0.166
0.252 0.166 0.334
0.252 0.666 0.831
0.252 0.168 0.834
0.748 0.834 0.666
0.748 0.334 0.169
0.242 0.333 0.667
0.758 0.667 0.333
0.000 0.000 0.000
```

Formation enthalpy at 0 K ... 5 kJ per mole of atoms
DFT total energy ... -33.60 eV/cell

No. 15
Crystalline Sr3GaIr at its relaxed geometry, computed with PBE.

```
Sr3GaIr
1.0
-2.586 -3.489 -1.569
5.728 -3.046 -2.667
1.397 -4.901 8.592
Sr Ga Ir
6 2 2
Direct
0.250 0.779 0.556
0.250 0.240 0.750
0.250 0.779 0.944
0.750 0.221 0.444
0.750 0.221 0.056
0.750 0.760 0.250
0.750 0.584 0.750
0.250 0.416 0.250
0.250 0.066 0.250
0.750 0.934 0.750
```

Formation enthalpy at 0 K ... -26 kJ per mole of atoms
DFT total energy ... -36.61 eV/cell
Offset from the most stable computed form ... 0.000 eV/atom

No. 16
Crystalline SrTbGa2Ir2 at its relaxed geometry, computed with PBE.

```
SrTbGa2Ir2
1.0
4.327 0.000 0.000
-2.163 3.747 0.000
0.000 0.000 8.190
Sr Tb Ga Ir
1 1 2 2
Direct
0.000 0.000 0.000
0.000 0.000 0.500
0.667 0.333 0.276
0.333 0.667 0.724
0.667 0.333 0.711
0.333 0.667 0.289
```

Formation enthalpy at 0 K ... -63 kJ per mole of atoms
DFT total energy ... -34.02 eV/cell

No. 17
Crystalline Sr2GaTeIr at its relaxed geometry, computed with PBE.

```
Sr2GaTeIr
1.0
-2.777 -5.046 -0.613
4.342 -1.992 -3.275
2.179 -1.674 3.907
Sr Ir Te Ga
2 1 1 1
Direct
0.000 0.500 0.000
0.500 0.000 0.000
0.000 0.000 0.000
0.500 0.500 0.500
0.000 0.000 0.500
```

DFT total energy ... -21.98 eV/cell

No. 18
Crystalline Sr2ZnGa3Ir4 at its relaxed geometry, computed with PBE.

```
Sr2ZnGa3Ir4
1.0
4.343 0.000 0.000
0.000 4.343 0.000
0.000 0.000 10.318
Sr Zn Ga Ir
2 1 3 4
Direct
0.500 0.000 0.245
0.000 0.500 0.755
0.500 0.500 0.500
0.000 0.000 0.500
0.500 0.000 0.875
0.000 0.500 0.125
0.500 0.500 0.000
0.000 0.000 0.000
0.500 0.000 0.629
0.000 0.500 0.371
```

Formation enthalpy at 0 K ... -47 kJ per mole of atoms
DFT total energy ... -53.99 eV/cell

No. 19
Crystalline SrZn2GaIr at its relaxed geometry, computed with PBE.

```
SrZn2GaIr
1.0
5.615 0.000 0.000
0.000 5.813 0.000
0.000 0.000 5.615
Sr Zn Ir Ga
1 2 1 1
Direct
0.000 0.000 0.000
0.000 0.000 0.500
0.500 0.000 0.000
0.500 0.500 0.500
0.000 0.500 0.000
```

Formation enthalpy at 0 K ... 171 kJ per mole of atoms
DFT total energy ... -7.25 eV/cell
Offset from the most stable computed form ... 2.155 eV/atom

No. 20
Crystalline SrZn2GaIr2 at its relaxed geometry, computed with PBE.

```
SrZn2GaIr2
1.0
-2.809 -2.512 -2.734
3.476 -2.984 -0.831
-1.638 -3.194 4.618
Sr Zn Ga Ir
1 2 1 2
Direct
0.000 0.000 0.500
0.500 0.500 0.756
0.500 0.500 0.244
0.000 0.000 0.000
0.500 0.000 0.000
0.000 0.500 0.000
```

Formation enthalpy at 0 K ... -7 kJ per mole of atoms
DFT total energy ... -25.39 eV/cell

No. 21
Crystalline SrZn2GaIr at its relaxed geometry, computed with PBE.

```
SrZn2GaIr
1.0
4.201 0.000 0.000
0.000 4.309 0.000
-2.101 -2.155 5.494
Sr Zn Ga Ir
1 2 1 1
Direct
0.444 0.444 0.887
0.692 0.192 0.385
0.064 0.064 0.128
0.819 0.819 0.638
0.193 0.693 0.387
```

Formation enthalpy at 0 K ... -29 kJ per mole of atoms
DFT total energy ... -17.60 eV/cell
Offset from the most stable computed form ... 0.083 eV/atom